1.
A plane-wave DFT calculation with GGA-PBE was carried out for a geometry-optimized Rb2HgGeCl6 structure.

Theoretical density ... 3.714 Mg/m³

a = 7.4490 Å, b = 7.4490 Å, c = 7.4490 Å
α = 60.22°, β = 60.22°, γ = 60.22°
Positions (direct):
Cl1 0.7522 0.2944 0.1978
Cl2 0.7049 0.8015 0.2467
Cl3 0.1978 0.7522 0.2944
Cl4 0.8015 0.2467 0.7049
Cl5 0.2944 0.1978 0.7522
Cl6 0.2467 0.7049 0.8015
Ge1 0.9998 0.9998 0.9998
Hg1 0.4997 0.4997 0.4997
Rb1 0.2484 0.2484 0.2484
Rb2 0.7525 0.7525 0.7525

=====

2.
A plane-wave DFT calculation with GGA-PBE was carried out for a geometry-optimized AgAu structure.

Theoretical density ... 8.571 Mg/m³
ΔH_f (0 K) ... 0.6425 eV per atom

a = 4.3711 Å, b = 4.3711 Å, c = 4.3711 Å
α = 60.00°, β = 60.00°, γ = 60.00°
Positions (direct):
Ag1 0.0000 0.0000 0.0000
Au1 0.2500 0.2500 0.2500

=====

3.
A plane-wave DFT calculation with GGA-PBE was carried out for a geometry-optimized NaNpPt structure.

Theoretical density ... 9.958 Mg/m³

a = 4.7521 Å, b = 4.7521 Å, c = 4.7521 Å
α = 60.00°, β = 60.00°, γ = 60.00°
Positions (direct):
Na1 0.2500 0.2500 0.2500
Np1 0.7500 0.7500 0.7500
Pt1 0.0000 0.0000 0.0000

=====

4.
A plane-wave DFT calculation with GGA-PBE was carried out for a geometry-optimized Hf2Cd3Mo4N3 structure.

Theoretical density ... 10.171 Mg/m³

a = 5.4908 Å, b = 5.4908 Å, c = 14.2971 Å
α = 100.73°, β = 100.73°, γ = 60.33°
Positions (direct):
Cd1 0.8139 0.5793 0.2465
Cd2 0.0214 0.9786 0.2500
Cd3 0.4207 0.1861 0.2535
Cd4 0.5793 0.8139 0.7465
Cd5 0.9786 0.0214 0.7500
Cd6 0.1861 0.4207 0.7535
Hf1 0.3565 0.5285 0.0938
Hf2 0.4715 0.6435 0.4062
Hf3 0.5285 0.3565 0.5938
Hf4 0.6435 0.4715 0.9062
Mo1 0.6931 0.8729 0.0729
Mo2 0.0436 0.1743 0.0730
Mo3 0.8257 0.9564 0.4270
Mo4 0.1271 0.3069 0.4271
Mo5 0.8729 0.6931 0.5729
Mo6 0.1743 0.0436 0.5730
Mo7 0.9564 0.8257 0.9270
Mo8 0.3069 0.1271 0.9271
N1 0.0000 0.5000 0.0000
N2 0.3485 0.8020 0.0002
N3 0.1980 0.6515 0.4998
N4 0.5000 0.0000 0.5000
N5 0.8020 0.3485 0.5002
N6 0.6515 0.1980 0.9998

=====

5.
A plane-wave DFT calculation with GGA-PBE was carried out for a geometry-optimized HfP2C structure.

Theoretical density ... 7.993 Mg/m³

a = 2.9872 Å, b = 2.9872 Å, c = 13.5740 Å
α = 90.00°, β = 90.00°, γ = 120.00°
Positions (direct):
C1 0.0000 0.0000 0.0000
C2 0.0000 0.0000 0.5000
Hf1 0.6667 0.3333 0.2500
Hf2 0.3333 0.6667 0.7500
P1 0.3333 0.6667 0.0925
P2 0.3333 0.6667 0.4075
P3 0.6667 0.3333 0.5925
P4 0.6667 0.3333 0.9075

=====

6.
A plane-wave DFT calculation with GGA-PBE was carried out for a geometry-optimized Ba2ZnCu structure.

Theoretical density ... 4.452 Mg/m³

a = 4.5413 Å, b = 4.5413 Å, c = 8.8279 Å
α = 104.93°, β = 104.93°, γ = 60.01°
Positions (direct):
Ba1 0.2825 0.2825 0.0846
Ba2 0.1124 0.1124 0.5741
Cu1 0.5308 0.5308 0.8296
Zn1 0.8640 0.8640 0.8291

=====

7.
A plane-wave DFT calculation with GGA-PBE was carried out for a geometry-optimized NaReB4 structure.

Theoretical density ... 7.887 Mg/m³
Relative energy among the computed polymorphs ... 0.450 eV/f.u.

a = 4.4976 Å, b = 4.4976 Å, c = 4.4976 Å
α = 140.57°, β = 107.63°, γ = 85.69°
Positions (direct):
B1 0.5902 0.2493 0.3409
B2 0.0916 0.7507 0.3409
B3 0.9084 0.2493 0.6591
B4 0.4098 0.7507 0.6591
Na1 0.0000 0.0000 0.0000
Re1 0.5000 0.5000 0.0000

=====

8.
A plane-wave DFT calculation with GGA-PBE was carried out for a geometry-optimized Gd2NiSn2Pt3 structure.

Theoretical density ... 12.257 Mg/m³

a = 4.5442 Å, b = 4.5442 Å, c = 9.0591 Å
α = 90.00°, β = 90.00°, γ = 120.00°
Positions (direct):
Gd1 0.6667 0.3333 0.2483
Gd2 0.0000 0.0000 0.7531
Ni1 0.0000 0.0000 0.0825
Pt1 0.0000 0.0000 0.3999
Pt2 0.6667 0.3333 0.5903
Pt3 0.6667 0.3333 0.9189
Sn1 0.3333 0.6667 0.0089
Sn2 0.3333 0.6667 0.4981

=====

Number 1: energy -30.08 eV per formula unit. Number 2: energy -4.81 eV per formula unit. Number 3: energy -19.90 eV per formula unit. Number 4: energy -95.37 eV per formula unit. Number 5: energy -27.64 eV per formula unit. Number 6: energy -9.36 eV per formula unit. Number 7: energy -39.77 eV per formula unit. Number 8: energy -48.12 eV per formula unit.